Below is a geometry-optimized HoSc3Te3 structure, with properties calculated at the PBE level.

a b c (Å): 7.6110 7.6110 7.6110
angles (deg): 68.60 68.60 68.60
Positions (direct):
Ho 0.1693 0.1693 0.1693
Ho 0.8307 0.8307 0.8307
Sc 0.1807 0.4276 0.6695
Sc 0.3305 0.8193 0.5724
Sc 0.4276 0.6695 0.1807
Sc 0.5724 0.3305 0.8193
Sc 0.6695 0.1807 0.4276
Sc 0.8193 0.5724 0.3305
Te 0.0193 0.8000 0.4102
Te 0.2000 0.5898 0.9807
Te 0.4102 0.0193 0.8000
Te 0.5898 0.9807 0.2000
Te 0.8000 0.4102 0.0193
Te 0.9807 0.2000 0.5898

## Properties
DFT total energy in eV/atom: -5.61